Density functional theory data (PBE-GGA) for an optimized crystal structure of Y2Tm7.

Results
total moment	0.000	μB/cell
offset from the most stable computed form	0	meV per atom

Geometry as POSCAR:
```
Y2Tm7
1.0
6.0736 0.0000 0.0000
-3.0368 5.2599 0.0000
0.0000 0.0000 8.6077
Y Tm
2 7
Cartesian
0.0000 3.5066 0.0000
3.0368 1.7533 0.0000
0.0000 0.0000 0.0000
-1.0095 1.7484 5.7250
-2.0273 3.5115 2.8827
2.0189 0.0000 5.7250
1.0095 1.7484 2.8827
4.0547 0.0000 2.8827
2.0273 3.5115 5.7250
```

=====

Density functional theory data (PBE-GGA) for an optimized crystal structure of ZrMn2Al.

Results
total moment	6.456	μB/cell
VASP energy	-7.61	eV per atom

Geometry as POSCAR:
```
ZrMn2Al
1.0
0.0000 3.2015 3.2015
3.2015 0.0000 3.2015
3.2015 3.2015 0.0000
Zr Mn Al
1 2 1
Cartesian
0.0000 0.0000 0.0000
3.2015 3.2015 3.2015
4.8023 4.8023 4.8023
1.6008 1.6008 1.6008
```

=====

Density functional theory data (PBE-GGA) for an optimized crystal structure of YSnPIr2.

Results
total moment	1.218	μB/cell
VASP energy	-4.89	eV per atom

Geometry as POSCAR:
```
YSnPIr2
1.0
4.9857 0.0000 0.0000
0.0000 4.9857 0.0000
0.0000 0.0000 5.6658
Y Sn P Ir
1 1 1 2
Cartesian
0.0000 0.0000 0.0000
0.0000 0.0000 2.8329
2.4929 2.4929 2.8329
0.0000 2.4929 0.0000
2.4929 0.0000 0.0000
```

=====

Density functional theory data (PBE-GGA) for an optimized crystal structure of Na8B13C3.

Results
total moment	0.000	μB/cell
offset from the most stable computed form	9	meV per atom

Geometry as POSCAR:
```
Na8B13C3
1.0
5.6759 0.0000 0.0000
0.0000 8.6584 0.0000
0.0000 0.0000 5.2780
Na B C
8 13 3
Cartesian
0.0000 2.1384 0.0000
0.0000 6.5200 0.0000
1.4173 2.1484 2.6383
1.4173 6.5100 2.6383
2.8379 2.1781 5.2748
2.8379 6.4802 5.2748
4.2586 2.1484 2.6383
4.2586 6.5100 2.6383
0.0000 0.0000 1.8311
0.0000 0.0000 3.5091
0.0000 4.3292 3.3454
1.4160 4.3292 0.9528
1.4121 4.3292 4.4775
1.4542 0.0000 0.8070
1.4889 0.0000 4.3483
2.8379 0.0000 1.9251
2.8379 4.3292 3.3450
4.1870 0.0000 4.3483
4.2217 0.0000 0.8070
4.2599 4.3292 0.9528
4.2638 4.3292 4.4775
0.0000 4.3292 1.7781
2.8379 0.0000 3.5080
2.8379 4.3292 1.7784
```

=====

Density functional theory data (PBE-GGA) for an optimized crystal structure of Tb2TeRh.

Results
total moment	0.000	μB/cell
offset from the most stable computed form	132	meV per atom
formation energy (no corrections)	-3.69	eV per formula unit

Geometry as POSCAR:
```
Tb2TeRh
1.0
3.6294 0.0000 0.0000
0.0000 3.6294 0.0000
0.0000 0.0000 7.3210
Tb Te Rh
2 1 1
Cartesian
0.0000 0.0000 1.6447
0.0000 0.0000 5.6764
1.8147 1.8147 3.6605
1.8147 1.8147 0.0000
```

=====

Density functional theory data (PBE-GGA) for an optimized crystal structure of Y2FeRu.

Results
total moment	3.169	μB/cell
VASP energy	-7.61	eV per atom

Geometry as POSCAR:
```
Y2FeRu
1.0
3.2848 0.0000 0.0000
0.0000 3.2848 0.0000
0.0000 0.0000 8.0674
Y Fe Ru
2 1 1
Cartesian
0.0000 0.0000 0.0000
1.6424 1.6424 3.1277
0.0000 0.0000 5.0315
1.6424 1.6424 6.2721
```

=====

Density functional theory data (PBE-GGA) for an optimized crystal structure of KNaHgCl4.

Results
total moment	0.000	μB/cell
formation energy (no corrections)	-9.12	eV per formula unit

Geometry as POSCAR:
```
KNaHgCl4
1.0
7.2885 0.0000 0.0000
0.0000 7.2932 0.0000
-2.3412 0.0000 8.1694
K Na Hg Cl
2 2 2 8
Cartesian
1.5193 1.8233 0.3836
3.4280 5.4699 7.7857
0.1744 1.8233 4.5365
4.7729 5.4699 3.6328
1.1363 5.4699 2.7344
3.8110 1.8233 5.4349
-0.6027 0.0047 2.2411
-0.6027 3.6419 2.2411
3.1227 5.4699 1.1875
2.6685 1.8233 3.2189
2.2788 5.4699 4.9505
1.8246 1.8233 6.9818
5.5500 3.6512 5.9283
5.5500 7.2885 5.9283
```

=====

Density functional theory data (PBE-GGA) for an optimized crystal structure of Na4Cd2Sn3.

Results
total moment	0.000	μB/cell
VASP energy	-2.25	eV per atom

Geometry as POSCAR:
```
Na4Cd2Sn3
1.0
5.5476 -2.2473 0.0000
5.5476 2.2473 0.0000
-3.1557 0.0000 9.4449
Na Cd Sn
4 2 3
Cartesian
-0.4599 0.0000 1.5864
1.6922 0.0000 5.7712
6.2473 0.0000 3.6737
8.3993 0.0000 7.8585
2.9538 0.0000 2.6552
4.9856 0.0000 6.7897
-1.5779 0.0000 4.7225
0.5592 0.0000 8.9506
7.3803 0.0000 0.4943
```